SrMgZn4Ga2: optimized geometry, PBE-GGA.

Results
ΔE_f, eV/atom: -0.1439
M_tot, μB per cell: 0.000
V, Å³ per cell: 163.4

The structure in extended XYZ format:
```
8
Lattice="2.206 1.274 9.691 -2.206 1.274 9.691 0.000 -2.547 9.691" Properties=species:S:1:pos:R:3 pbc="T T T"
Sr 0.000 0.000 0.000
Mg 0.000 0.000 14.536
Zn 0.000 0.000 3.593
Zn 0.000 0.000 11.719
Zn 0.000 0.000 17.353
Zn 0.000 0.000 25.479
Ga 0.000 0.000 6.907
Ga 0.000 0.000 22.165
```

---

Pm3AlGa6Au2: optimized geometry, PBE-GGA.

Results
ΔE_f, eV/atom: -0.4140
M_tot, μB per cell: 0.000
V, Å³ per cell: 261.8

The structure in extended XYZ format:
```
12
Lattice="5.587 0.000 0.000 -2.793 4.838 0.000 0.000 0.000 9.687" Properties=species:S:1:pos:R:3 pbc="T T T"
Pm 0.000 0.000 0.000
Pm 0.000 3.225 5.612
Pm 2.793 1.613 4.074
Al 0.000 0.000 4.843
Ga 0.000 1.627 2.724
Ga -1.384 4.025 2.724
Ga 1.409 0.813 6.963
Ga 1.384 4.025 2.724
Ga 4.178 0.813 6.963
Ga 2.793 3.211 6.963
Au 0.000 3.225 0.510
Au 2.793 1.613 9.177
```

---

Li2OsW: optimized geometry, PBE-GGA.

Results
ΔE_f, eV/atom: 0.3323
M_tot, μB per cell: 0.000
V, Å³ per cell: 120.0
Polymorph energy (0 for the lowest one), meV per atom: 145

The structure in extended XYZ format:
```
8
Lattice="8.876 0.000 0.000 0.000 2.580 0.000 -0.301 0.000 5.238" Properties=species:S:1:pos:R:3 pbc="T T T"
Li 0.000 0.000 0.000
Li 1.925 0.000 4.140
Li 4.438 1.290 0.000
Li 6.364 1.290 4.140
Os 2.038 1.290 1.511
Os 6.476 0.000 1.511
W 4.229 0.000 2.535
W 8.668 1.290 2.535
```

---

P2HIrAu: optimized geometry, PBE-GGA.

Results
M_tot, μB per cell: 0.000
V, Å³ per cell: 161.5
Polymorph energy (0 for the lowest one), meV per atom: 125

The structure in extended XYZ format:
```
10
Lattice="6.953 0.000 0.000 0.000 3.772 0.000 -1.222 0.000 6.158" Properties=species:S:1:pos:R:3 pbc="T T T"
P 0.000 0.000 0.000
P 0.113 1.886 4.033
P 3.476 1.886 0.000
P 3.590 0.000 4.033
H 2.116 0.000 3.752
H 5.593 1.886 3.752
Ir 0.963 0.000 5.179
Ir 4.440 1.886 5.179
Au 0.297 0.000 2.303
Au 3.773 1.886 2.303
```

---

CaBiO3: optimized geometry, PBE-GGA.

Results
Formation energy from raw total energies, eV/atom: -1.537
M_tot, μB per cell: 0.421
V, Å³ per cell: 164.2

The structure in extended XYZ format:
```
10
Lattice="4.761 0.000 0.000 0.000 4.540 0.000 -0.146 0.000 7.597" Properties=species:S:1:pos:R:3 pbc="T T T"
Ca 1.100 1.135 3.350
Ca 3.514 3.405 4.247
Bi 0.951 3.405 6.713
Bi 3.664 1.135 0.885
O 0.720 2.291 1.264
O 0.720 4.519 1.264
O 1.170 3.405 4.391
O 3.444 1.135 3.207
O 3.895 0.021 6.333
O 3.895 2.249 6.333
```

---

What is the M_tot in the first record?
0.000 μB per cell